Entry 1:
First-principles (GGA-PBE) data for a geometry-optimized Na2AgHPb structure, as listed in Alexandria.

Cell lengths 5.153, 5.153, 3.838 Å; angles 90.00, 90.00, 90.00 degrees
Fractional coordinates of all 5 atoms:
Pb 0.500 0.500 0.500
Na 0.000 0.500 0.000
Na 0.500 0.000 0.000
Ag 0.000 0.000 0.500
H 0.000 0.000 0.000

- Fermi-level density of states (states/eV/cell) = 2.04
- space-group type = No. 123
- excess energy over the best structure of this formula in the dataset (eV/atom) = 0.000
- V (Å³ per atom) = 20.4

***

Entry 2:
First-principles (GGA-PBE) data for a geometry-optimized NaAgHPd2 structure, as listed in Alexandria.

Cell lengths 4.054, 4.054, 4.292 Å; angles 90.00, 90.00, 90.00 degrees
Fractional coordinates of all 5 atoms:
Na 0.500 0.500 0.500
Pd 0.000 0.500 0.000
Pd 0.500 0.000 0.000
Ag 0.000 0.000 0.500
H 0.000 0.000 0.000

- Fermi-level density of states (states/eV/cell) = 1.43
- space-group type = No. 123
- excess energy over the best structure of this formula in the dataset (eV/atom) = 0.030
- V (Å³ per atom) = 14.1

***

Entry 3:
First-principles (GGA-PBE) data for a geometry-optimized NaAgHPd2 structure, as listed in Alexandria.

Cell lengths 4.000, 4.000, 4.384 Å; angles 90.00, 90.00, 90.00 degrees
Fractional coordinates of all 5 atoms:
Na 0.000 0.000 0.500
Pd 0.000 0.500 0.000
Pd 0.500 0.000 0.000
Ag 0.500 0.500 0.500
H 0.000 0.000 0.000

- Fermi-level density of states (states/eV/cell) = 1.95
- space-group type = No. 123
- excess energy over the best structure of this formula in the dataset (eV/atom) = 0.000
- V (Å³ per atom) = 14.0

***

Entry 4:
First-principles (GGA-PBE) data for a geometry-optimized NaAg2HPd structure, as listed in Alexandria.

Cell lengths 4.581, 4.581, 3.597 Å; angles 90.00, 90.00, 90.00 degrees
Fractional coordinates of all 5 atoms:
Na 0.500 0.500 0.500
Pd 0.000 0.000 0.500
Ag 0.000 0.500 0.000
Ag 0.500 0.000 0.000
H 0.000 0.000 0.000

- Fermi-level density of states (states/eV/cell) = 0.78
- space-group type = No. 123
- excess energy over the best structure of this formula in the dataset (eV/atom) = 0.000
- V (Å³ per atom) = 15.1